[1]
The following is a DFT calculation (PBE) of crystalline NdDy2TaN4 at its relaxed geometry.

Cell: 3.413 12.011 12.134 Å, 90.00 90.00 90.00°
Space group Cmcm (No. 63)
Symmetry-distinct sites (fractional):
1 Nd 0.000 0.100 0.250 [4 per cell]
2 Dy 0.000 0.370 0.034 [8 per cell]
3 Ta 0.000 0.161 0.750 [4 per cell]
4 N 0.000 0.000 0.000 [4 per cell]
5 N 0.000 0.260 0.622 [8 per cell]
6 N 0.000 0.441 0.250 [4 per cell]

=====

[2]
The following is a DFT calculation (PBE) of crystalline Nd2DyTcN4 at its relaxed geometry.

Cell: 3.476 11.966 12.083 Å, 90.00 90.00 90.00°
Space group Cmcm (No. 63)
Symmetry-distinct sites (fractional):
1 Nd 0.000 0.132 0.040 [8 per cell]
2 Dy 0.000 0.366 0.250 [4 per cell]
3 Tc 0.000 0.360 0.750 [4 per cell]
4 N 0.000 0.062 0.250 [4 per cell]
5 N 0.000 0.231 0.639 [8 per cell]
6 N 0.000 0.500 0.000 [4 per cell]

=====

[3]
The following is a DFT calculation (PBE) of crystalline NdDy2TcN4 at its relaxed geometry.

Cell: 3.466 11.726 11.615 Å, 90.00 90.00 90.00°
Space group Cmcm (No. 63)
Symmetry-distinct sites (fractional):
1 Nd 0.000 0.122 0.250 [4 per cell]
2 Dy 0.000 0.369 0.040 [8 per cell]
3 Tc 0.000 0.142 0.750 [4 per cell]
4 N 0.000 0.000 0.000 [4 per cell]
5 N 0.000 0.264 0.628 [8 per cell]
6 N 0.000 0.439 0.250 [4 per cell]

=====

[4]
The following is a DFT calculation (PBE) of crystalline NdDyThN3 at its relaxed geometry.

Cell: 6.158 3.587 9.234 Å, 90.00 101.58 90.00°
Space group P2_1/m (No. 11)
Symmetry-distinct sites (fractional):
1 Nd 0.156 0.250 0.193 [2 per cell]
2 Dy 0.352 0.250 0.866 [2 per cell]
3 Th 0.266 0.750 0.548 [2 per cell]
4 N 0.046 0.250 0.663 [2 per cell]
5 N 0.258 0.750 0.997 [2 per cell]
6 N 0.460 0.750 0.346 [2 per cell]

=====

[5]
The following is a DFT calculation (PBE) of crystalline NdDyTh2N4 at its relaxed geometry.

Cell: 6.235 3.628 6.289 Å, 90.00 109.57 90.00°
Space group P2/m (No. 10)
Symmetry-distinct sites (fractional):
1 Nd 0.000 0.000 0.000 [1 per cell]
2 Dy 0.000 0.500 0.500 [1 per cell]
3 Th 0.500 0.000 0.500 [1 per cell]
4 Th 0.500 0.500 0.000 [1 per cell]
5 N 0.253 0.000 0.744 [2 per cell]
6 N 0.259 0.500 0.260 [2 per cell]

=====

[6]
The following is a DFT calculation (PBE) of crystalline Nd2DyThN4 at its relaxed geometry.

Cell: 6.237 3.619 6.264 Å, 90.00 109.30 90.00°
Space group P2/m (No. 10)
Symmetry-distinct sites (fractional):
1 Nd 0.000 0.000 0.000 [1 per cell]
2 Nd 0.500 0.500 0.000 [1 per cell]
3 Dy 0.000 0.500 0.500 [1 per cell]
4 Th 0.500 0.000 0.500 [1 per cell]
5 N 0.247 0.000 0.736 [2 per cell]
6 N 0.254 0.500 0.263 [2 per cell]

=====

[7]
The following is a DFT calculation (PBE) of crystalline NdDy2TiN4 at its relaxed geometry.

Cell: 3.422 11.825 11.888 Å, 90.00 90.00 90.00°
Space group Cmcm (No. 63)
Symmetry-distinct sites (fractional):
1 Nd 0.000 0.097 0.250 [4 per cell]
2 Dy 0.000 0.370 0.039 [8 per cell]
3 Ti 0.000 0.166 0.750 [4 per cell]
4 N 0.000 0.000 0.000 [4 per cell]
5 N 0.000 0.263 0.624 [8 per cell]
6 N 0.000 0.430 0.250 [4 per cell]

=====

[8]
The following is a DFT calculation (PBE) of crystalline NdDyTiN3 at its relaxed geometry.

Cell: 7.256 3.560 7.747 Å, 90.00 98.32 90.00°
Space group P2_1/m (No. 11)
Symmetry-distinct sites (fractional):
1 Nd 0.170 0.250 0.170 [2 per cell]
2 Dy 0.368 0.750 0.843 [2 per cell]
3 Ti 0.103 0.250 0.598 [2 per cell]
4 N 0.114 0.250 0.849 [2 per cell]
5 N 0.171 0.750 0.518 [2 per cell]
6 N 0.404 0.750 0.139 [2 per cell]

=====

[9]
The following is a DFT calculation (PBE) of crystalline Nd2DyTlN at its relaxed geometry.

Cell: 5.046 5.046 4.825 Å, 90.00 90.00 90.00°
Space group P4/mmm (No. 123)
Symmetry-distinct sites (fractional):
1 Nd 0.000 0.500 0.000 [2 per cell]
2 Dy 0.000 0.000 0.500 [1 per cell]
3 Tl 0.500 0.500 0.500 [1 per cell]
4 N 0.000 0.000 0.000 [1 per cell]

=====

[10]
The following is a DFT calculation (PBE) of crystalline NdDy2TlN at its relaxed geometry.

Cell: 4.837 4.837 5.025 Å, 90.00 90.00 90.00°
Space group P4/mmm (No. 123)
Symmetry-distinct sites (fractional):
1 Nd 0.000 0.000 0.000 [1 per cell]
2 Dy 0.000 0.500 0.500 [2 per cell]
3 Tl 0.500 0.500 0.000 [1 per cell]
4 N 0.000 0.000 0.500 [1 per cell]

=====

[11]
The following is a DFT calculation (PBE) of crystalline NdDy2UN4 at its relaxed geometry.

Cell: 6.033 3.502 6.090 Å, 90.00 109.07 90.00°
Space group P2/m (No. 10)
Symmetry-distinct sites (fractional):
1 Nd 0.000 0.000 0.000 [1 per cell]
2 Dy 0.500 0.000 0.500 [1 per cell]
3 Dy 0.500 0.500 0.000 [1 per cell]
4 U 0.000 0.500 0.500 [1 per cell]
5 N 0.243 0.500 0.277 [2 per cell]
6 N 0.244 0.000 0.733 [2 per cell]

=====

[12]
The following is a DFT calculation (PBE) of crystalline NdDyW2N6 at its relaxed geometry.

Cell: 11.357 9.769 6.447 Å, 90.00 112.91 90.00°
Space group C2/c (No. 15)
Symmetry-distinct sites (fractional):
1 Nd 0.000 0.095 0.250 [4 per cell]
2 Dy 0.000 0.290 0.750 [4 per cell]
3 W 0.209 0.413 0.214 [8 per cell]
4 N 0.114 0.114 0.664 [8 per cell]
5 N 0.128 0.251 0.146 [8 per cell]
6 N 0.150 0.488 0.918 [8 per cell]

=====

| no. | raw formation energy (eV per atom) | size of the total moment (μB/cell) | volume (Å³ per cell) |
| --- | --- | --- | --- |
| 1 | -1.288 | 0.000 | 497 |
| 2 | -0.890 | 0.000 | 503 |
| 3 | -1.085 | 0.000 | 472 |
| 4 | -1.424 | 0.000 | 200 |
| 5 | -1.558 | 0.000 | 134 |
| 6 | -1.532 | 0.000 | 133 |
| 7 | -1.465 | 0.000 | 481 |
| 8 | -1.313 | 0.000 | 198 |
| 9 | -0.847 | 0.000 | 123 |
| 10 | -0.887 | 0.000 | 118 |
| 11 | -1.525 | 1.405 | 122 |
| 12 | -0.955 | 0.000 | 659 |